Entry from the Alexandria database: an optimized crystal structure of La2Tl3Pb3 (PBE).

Cell lengths 4.8730, 4.9812, 9.8323 Å; angles 90.00, 90.00, 90.00 degrees
Last column: nearest neighbours and their distance in Å.
Space group Pmmm (No. 47)
One atom of each set of equivalent atoms:
La 0.0000 0.0000 0.2489  6 Pb 3.45-3.49, 6 Tl 3.48-3.51
Tl 0.0000 0.5000 0.5000  4 Tl 3.44, 4 Pb 3.48, 4 La 3.51
Tl 0.5000 0.5000 0.2534  2 Tl 3.44, 6 Pb 3.48-3.52, 4 La 3.48
Pb 0.0000 0.5000 0.0000  4 Pb 3.48, 4 Tl 3.48, 4 La 3.49
Pb 0.5000 0.0000 0.0000  4 La 3.45, 4 Pb 3.48, 4 Tl 3.52
Pb 0.5000 0.0000 0.5000  4 La 3.47, 8 Tl 3.48

Results
DOS at the Fermi energy = 5.35 states/eV/cell
magnetic moment = 0.0 Bohr magnetons per cell
DFT formation energy = -3.25 eV per formula unit

***

Entry from the Alexandria database: an optimized crystal structure of NaSc2Ag2 (PBE).

Cell lengths 4.4075, 4.4075, 12.8634 Å; angles 90.00, 90.00, 90.00 degrees
Last column: nearest neighbours and their distance in Å.
Space group I4/mmm (No. 139)
One atom of each set of equivalent atoms:
Na 0.0000 0.0000 0.0000  8 Ag 3.40
Sc 0.0000 0.5000 0.2500  4 Ag 2.87, 4 Sc 3.12
Ag 0.0000 0.0000 0.3935  1 Ag 2.74, 4 Sc 2.87

Results
DOS at the Fermi energy = 13.52 states/eV/cell
magnetic moment = 0.0 Bohr magnetons per cell
DFT formation energy = 0.41 eV per formula unit

***

Entry from the Alexandria database: an optimized crystal structure of CsPW3 (PBE).

Cell lengths 4.9340, 4.9340, 4.9340 Å; angles 90.00, 90.00, 90.00 degrees
Last column: nearest neighbours and their distance in Å.
Space group Pm-3m (No. 221)
One atom of each set of equivalent atoms:
Cs 0.0000 0.0000 0.0000  6 W 2.47
P 0.5000 0.5000 0.5000  12 W 3.49
W 0.0000 0.0000 0.5000  2 Cs 2.47

Results
DOS at the Fermi energy = 4.06 states/eV/cell
magnetic moment = 0.0 Bohr magnetons per cell
DFT formation energy = 21.18 eV per formula unit

***

Entry from the Alexandria database: an optimized crystal structure of Tl5C (PBE).

Cell lengths 3.5210, 17.8640, 5.6235 Å; angles 90.00, 90.00, 90.00 degrees
Last column: nearest neighbours and their distance in Å.
Space group Cmmm (No. 65)
One atom of each set of equivalent atoms:
Tl 0.0000 0.0000 0.0000  4 C 3.32, 10 Tl 3.34-3.52
Tl 0.0000 0.1005 0.5000  2 C 2.51
Tl 0.0000 0.3319 0.0000  10 Tl 3.42-3.53
C 0.0000 0.5000 0.5000  4 Tl 2.51

Results
DOS at the Fermi energy = 5.21 states/eV/cell
magnetic moment = 0.2 Bohr magnetons per cell
DFT formation energy = 4.69 eV per formula unit

***

Number 1: offset from the most stable computed form 5 meV/atom, total energy -3.916 eV per atom. Number 2: offset from the most stable computed form 146 meV/atom, total energy -3.855 eV per atom. Number 3: offset from the most stable computed form 2400 meV/atom, total energy -4.788 eV per atom. Number 4: offset from the most stable computed form 86 meV/atom, total energy -2.728 eV per atom.